--- a ---
First-principles (GGA-PBEsol) data for a relaxed structure of SrMoAu, as listed in Alexandria.

Results
Mass density in g cm⁻³: 10.304

Lattice parameters (Å, degrees): 3.0661 3.0661 7.5318 90.00 90.00 120.00
Space group P3m1 (No. 156)
One atom of each set of equivalent atoms:
Sr 0.0000 0.0000 0.0000 x1
Mo 0.3333 0.6667 0.3550 x1
Au 0.6667 0.3333 0.6422 x1

---

--- b ---
First-principles (GGA-PBEsol) data for a relaxed structure of SrMoAu, as listed in Alexandria.

Results
Mass density in g cm⁻³: 8.339

Lattice parameters (Å, degrees): 4.4162 4.4162 4.4862 90.00 90.00 120.00
Space group P-6m2 (No. 187)
One atom of each set of equivalent atoms:
Sr 0.0000 0.0000 0.0000 x1
Mo 0.6667 0.3333 0.5000 x1
Au 0.3333 0.6667 0.5000 x1

---

b (262 meV per atom below the next structure)

---

--- a ---
First-principles (GGA-PBEsol) data for a relaxed structure of Tc2MoAu, as listed in Alexandria.

Results
Mass density in g cm⁻³: 13.704

Lattice parameters (Å, degrees): 3.931 3.931 7.666 90.00 90.00 90.00
Space group I4/mmm (No. 139)
One atom of each set of equivalent atoms:
Tc 0.000 0.500 0.250 x4
Mo 0.000 0.000 0.000 x2
Au 0.000 0.000 0.500 x2

---

--- b ---
First-principles (GGA-PBEsol) data for a relaxed structure of Tc2MoAu, as listed in Alexandria.

Results
Mass density in g cm⁻³: 13.466

Lattice parameters (Å, degrees): 2.7586 2.7586 27.4427 90.00 90.00 120.00
Space group R-3m (No. 166, hexagonal axes)
One atom of each set of equivalent atoms:
Tc 0.0000 0.0000 0.2460 x6
Mo 0.0000 0.0000 0.5000 x3
Au 0.0000 0.0000 0.0000 x3

---

--- c ---
First-principles (GGA-PBEsol) data for a relaxed structure of Tc2MoAu, as listed in Alexandria.

Results
Mass density in g cm⁻³: 13.525

Lattice parameters (Å, degrees): 2.782 3.884 5.555 90.00 90.00 90.00
Space group Pmm2 (No. 25)
One atom of each set of equivalent atoms:
Tc 0.000 0.000 0.000 x1
Tc 0.500 0.500 0.210 x1
Mo 0.500 0.500 0.766 x1
Au 0.000 0.000 0.492 x1

---

c (82 meV per atom below the next structure)

---

--- a ---
First-principles (GGA-PBEsol) data for a relaxed structure of TlMoAu2, as listed in Alexandria.

Results
Mass density in g cm⁻³: 15.855

Lattice parameters (Å, degrees): 6.626 6.626 6.626 90.00 90.00 90.00
Space group Fm-3m (No. 225)
One atom of each set of equivalent atoms:
Tl 0.000 0.000 0.000 x4
Mo 0.000 0.000 0.500 x4
Au 0.250 0.250 0.250 x8

---

--- b ---
First-principles (GGA-PBEsol) data for a relaxed structure of TlMoAu2, as listed in Alexandria.

Results
Mass density in g cm⁻³: 16.024

Lattice parameters (Å, degrees): 9.144 2.951 5.407 90.00 99.55 90.00
Space group Cm (No. 8)
One atom of each set of equivalent atoms:
Tl 0.000 0.000 0.000 x2
Mo 0.250 0.500 0.276 x2
Au 0.246 0.000 0.733 x2
Au 0.494 0.000 0.485 x2

---

b (145 meV per atom below the next structure)

---

--- a ---
First-principles (GGA-PBEsol) data for a relaxed structure of TlMoAu2, as listed in Alexandria.

Results
Mass density in g cm⁻³: 16.018

Lattice parameters (Å, degrees): 2.899 4.124 6.019 90.00 90.00 90.00
Space group Pmmm (No. 47)
One atom of each set of equivalent atoms:
Tl 0.000 0.000 0.000 x1
Mo 0.000 0.000 0.500 x1
Au 0.500 0.500 0.274 x2

---

--- b ---
First-principles (GGA-PBEsol) data for a relaxed structure of TlMoAu2, as listed in Alexandria.

Results
Mass density in g cm⁻³: 15.912

Lattice parameters (Å, degrees): 2.920 5.078 9.772 90.00 90.00 90.00
Space group Imm2 (No. 44)
One atom of each set of equivalent atoms:
Tl 0.000 0.000 0.000 x2
Mo 0.000 0.500 0.755 x2
Au 0.000 0.000 0.494 x2
Au 0.000 0.500 0.244 x2

---

a (72 meV per atom below the next structure)

---

--- a ---
First-principles (GGA-PBEsol) data for a relaxed structure of MoW2Au, as listed in Alexandria.

Results
Mass density in g cm⁻³: 17.246

Lattice parameters (Å, degrees): 2.672 2.672 8.909 90.00 90.00 90.00
Space group P4/mmm (No. 123)
One atom of each set of equivalent atoms:
Mo 0.000 0.000 0.000 x1
W 0.500 0.500 0.251 x2
Au 0.000 0.000 0.500 x1

---

--- b ---
First-principles (GGA-PBEsol) data for a relaxed structure of MoW2Au, as listed in Alexandria.

Results
Mass density in g cm⁻³: 17.310

Lattice parameters (Å, degrees): 3.216 4.375 9.009 90.00 90.00 90.00
Space group Cmm2 (No. 35)
One atom of each set of equivalent atoms:
Mo 0.000 0.000 0.000 x2
W 0.000 0.000 0.485 x2
W 0.000 0.500 0.241 x2
Au 0.000 0.500 0.742 x2

---

b (195 meV per atom below the next structure)

---

--- a ---
First-principles (GGA-PBEsol) data for a relaxed structure of YMo2Au, as listed in Alexandria.

Results
Mass density in g cm⁻³: 11.025

Lattice parameters (Å, degrees): 3.461 4.359 4.770 90.00 90.00 90.00
Space group Pmmm (No. 47)
One atom of each set of equivalent atoms:
Y 0.000 0.000 0.000 x1
Mo 0.000 0.500 0.500 x1
Mo 0.500 0.000 0.500 x1
Au 0.500 0.500 0.000 x1

---

--- b ---
First-principles (GGA-PBEsol) data for a relaxed structure of YMo2Au, as listed in Alexandria.

Results
Mass density in g cm⁻³: 11.153

Lattice parameters (Å, degrees): 2.787 2.787 9.157 90.00 90.00 90.00
Space group P4/mmm (No. 123)
One atom of each set of equivalent atoms:
Y 0.000 0.000 0.000 x1
Mo 0.500 0.500 0.271 x2
Au 0.000 0.000 0.500 x1

---

--- c ---
First-principles (GGA-PBEsol) data for a relaxed structure of YMo2Au, as listed in Alexandria.

Results
Mass density in g cm⁻³: 10.324

Lattice parameters (Å, degrees): 10.494 3.241 4.751 90.00 107.98 90.00
Space group C2/m (No. 12)
One atom of each set of equivalent atoms:
Y 0.000 0.000 0.000 x2
Mo 0.234 0.000 0.679 x4
Au 0.000 0.500 0.500 x2

---

a (60 meV per atom below the next structure)

---

--- a ---
First-principles (GGA-PBEsol) data for a relaxed structure of Zn2MoAu, as listed in Alexandria.

Results
Mass density in g cm⁻³: 11.857

Lattice parameters (Å, degrees): 2.732 4.608 9.429 90.00 90.00 90.00
Space group Imm2 (No. 44)
One atom of each set of equivalent atoms:
Zn 0.000 0.000 0.000 x2
Zn 0.000 0.500 0.265 x2
Mo 0.000 0.000 0.512 x2
Au 0.000 0.500 0.744 x2

---

--- b ---
First-principles (GGA-PBEsol) data for a relaxed structure of Zn2MoAu, as listed in Alexandria.

Results
Mass density in g cm⁻³: 11.887

Lattice parameters (Å, degrees): 4.005 4.005 3.691 90.00 90.00 90.00
Space group P4/mmm (No. 123)
One atom of each set of equivalent atoms:
Zn 0.000 0.500 0.000 x2
Mo 0.000 0.000 0.500 x1
Au 0.500 0.500 0.500 x1

---

b (104 meV per atom below the next structure)

---

--- a ---
First-principles (GGA-PBEsol) data for a relaxed structure of Zn2MoAu, as listed in Alexandria.

Results
Mass density in g cm⁻³: 11.946

Lattice parameters (Å, degrees): 6.176 6.176 6.176 90.00 90.00 90.00
Space group Fm-3m (No. 225)
One atom of each set of equivalent atoms:
Zn 0.250 0.250 0.250 x8
Mo 0.000 0.000 0.000 x4
Au 0.000 0.000 0.500 x4

---

--- b ---
First-principles (GGA-PBEsol) data for a relaxed structure of Zn2MoAu, as listed in Alexandria.

Results
Mass density in g cm⁻³: 11.522

Lattice parameters (Å, degrees): 6.251 6.251 6.251 90.00 90.00 90.00
Space group F-43m (No. 216)
One atom of each set of equivalent atoms:
Zn 0.000 0.000 0.000 x4
Zn 0.250 0.250 0.250 x4
Mo 0.000 0.000 0.500 x4
Au 0.250 0.250 0.750 x4

---

a (83 meV per atom below the next structure)